{
  "formula": "VIrOsO6",
  "functional": "PBE+U",
  "state": "relaxed",
  "space_group": "P-31c",
  "final_energy_ev_per_atom": -7.5196,
  "lattice_angstrom": [[4.9779, 0.0000, 0.0000], [-2.4890, 4.3110, 0.0000], [0.0000, 0.0000, 8.9204]],
  "species": ["V", "V", "Ir", "Ir", "Os", "Os", "O", "O", "O", "O", "O", "O", "O", "O", "O", "O", "O", "O"],
  "frac_coords": [[0.3333, 0.6667, 0.2500], [0.6667, 0.3333, 0.7500], [0.0000, 0.0000, 0.0000], [0.0000, 0.0000, 0.5000], [0.6667, 0.3333, 0.2500], [0.3333, 0.6667, 0.7500], [0.6654, 0.6625, 0.1255], [0.9971, 0.3346, 0.1255], [0.3346, 0.9971, 0.6255], [0.0029, 0.6654, 0.8745], [0.3375, 0.3346, 0.3745], [0.9971, 0.6625, 0.3745], [0.6625, 0.9971, 0.8745], [0.6654, 0.0029, 0.3745], [0.0029, 0.3375, 0.6255], [0.3375, 0.0029, 0.1255], [0.6625, 0.6654, 0.6255], [0.3346, 0.3375, 0.8745]]
}